Here is a geometry-optimized AcBiPt2 structure from Alexandria. Energies are from PBE.

Properties
The calculation puts the total magnetization at 0.000 μB/cell. As for the formation energy: -0.55 eV/atom. The volume is 24.43 Å³ per atom.

Unit cell a=3.756 b=3.756 c=6.927 alpha=90.00 beta=90.00 gamma=90.00
Fractional positions:
Ac1 0.000 0.000 0.000
Bi1 0.000 0.000 0.500
Pt1 0.500 0.500 0.276
Pt2 0.500 0.500 0.724

Here is a geometry-optimized AcBi4Pt2 structure from Alexandria. Energies are from PBE.

Properties
The calculation puts the total magnetization at 0.000 μB/cell. As for the formation energy: -0.45 eV/atom. The volume is 28.71 Å³ per atom.

Unit cell a=9.595 b=9.595 c=4.629 alpha=90.00 beta=90.00 gamma=151.86
Fractional positions:
Ac1 0.000 0.000 0.000
Bi1 0.162 0.838 0.500
Bi2 0.336 0.664 0.000
Bi3 0.664 0.336 0.000
Bi4 0.838 0.162 0.500
Pt1 0.428 0.572 0.500
Pt2 0.572 0.428 0.500

Here is a geometry-optimized Ac2BiPt9 structure from Alexandria. Energies are from PBE.

Properties
The calculation puts the total magnetization at 0.000 μB/cell. As for the formation energy: -0.60 eV/atom. The volume is 20.15 Å³ per atom.

Unit cell a=9.604 b=9.604 c=9.604 alpha=33.61 beta=33.61 gamma=33.61
Fractional positions:
Ac1 0.135 0.135 0.135
Ac2 0.865 0.865 0.865
Bi1 0.000 0.000 0.000
Pt1 0.081 0.586 0.586
Pt2 0.332 0.332 0.332
Pt3 0.414 0.414 0.919
Pt4 0.414 0.919 0.414
Pt5 0.500 0.500 0.500
Pt6 0.586 0.081 0.586
Pt7 0.586 0.586 0.081
Pt8 0.668 0.668 0.668
Pt9 0.919 0.414 0.414

Here is a geometry-optimized Ac3BiPt structure from Alexandria. Energies are from PBE.

Properties
The calculation puts the total magnetization at 0.000 μB/cell. The calculation puts the energy above the lowest structure with this stoichiometry at 0 meV/atom. As for the formation energy: -0.87 eV/atom. The volume is 37.16 Å³ per atom.

Unit cell a=9.123 b=4.630 c=17.599 alpha=90.00 beta=90.00 gamma=90.00
Fractional positions:
Ac1 0.010 0.250 0.097
Ac2 0.154 0.750 0.453
Ac3 0.163 0.250 0.706
Ac4 0.337 0.750 0.206
Ac5 0.346 0.250 0.953
Ac6 0.490 0.750 0.597
Ac7 0.510 0.250 0.403
Ac8 0.654 0.750 0.047
Ac9 0.663 0.250 0.794
Ac10 0.837 0.750 0.294
Ac11 0.846 0.250 0.547
Ac12 0.990 0.750 0.903
Bi1 0.126 0.250 0.300
Bi2 0.374 0.750 0.800
Bi3 0.626 0.250 0.200
Bi4 0.874 0.750 0.700
Pt1 0.212 0.750 0.042
Pt2 0.288 0.250 0.542
Pt3 0.712 0.750 0.458
Pt4 0.788 0.250 0.958